YHfAg2, optimized geometry, DFT GGA-PBE; E_tot = -5.31 eV/atom; total moment = 4.030 Bohr magnetons per cell; symmetry = No. 216
1.0
6.934 0.000 0.000
0.000 6.934 0.000
0.000 0.000 6.934
Y Hf Ag
4 4 8
Cartesian
0.000 0.000 0.000 Y
0.000 3.467 3.467 Y
3.467 0.000 3.467 Y
3.467 3.467 0.000 Y
1.734 1.734 5.201 Hf
1.734 5.201 1.734 Hf
5.201 1.734 1.734 Hf
5.201 5.201 5.201 Hf
0.000 0.000 3.467 Ag
0.000 3.467 0.000 Ag
1.734 1.734 1.734 Ag
1.734 5.201 5.201 Ag
3.467 0.000 0.000 Ag
3.467 3.467 3.467 Ag
5.201 1.734 5.201 Ag
5.201 5.201 1.734 Ag

YHfAg, optimized geometry, DFT GGA-PBE; E_tot = -5.38 eV/atom; total moment = 2.437 Bohr magnetons per cell; symmetry = No. 216
1.0
6.851 0.000 0.000
0.000 6.851 0.000
0.000 0.000 6.851
Y Hf Ag
4 4 4
Cartesian
0.000 0.000 0.000 Y
0.000 3.425 3.425 Y
3.425 0.000 3.425 Y
3.425 3.425 0.000 Y
1.713 1.713 1.713 Hf
1.713 5.138 5.138 Hf
5.138 1.713 5.138 Hf
5.138 5.138 1.713 Hf
1.713 1.713 5.138 Ag
1.713 5.138 1.713 Ag
5.138 1.713 1.713 Ag
5.138 5.138 5.138 Ag

YHf2Ag, optimized geometry, DFT GGA-PBE; E_tot = -7.07 eV/atom; total moment = 7.796 Bohr magnetons per cell; symmetry = No. 216
1.0
7.129 0.000 0.000
0.000 7.129 0.000
0.000 0.000 7.129
Y Hf Ag
4 8 4
Cartesian
0.000 0.000 0.000 Y
0.000 3.565 3.565 Y
3.565 0.000 3.565 Y
3.565 3.565 0.000 Y
0.000 0.000 3.565 Hf
0.000 3.565 0.000 Hf
1.782 1.782 5.347 Hf
1.782 5.347 1.782 Hf
3.565 0.000 0.000 Hf
3.565 3.565 3.565 Hf
5.347 1.782 1.782 Hf
5.347 5.347 5.347 Hf
1.782 1.782 1.782 Ag
1.782 5.347 5.347 Ag
5.347 1.782 5.347 Ag
5.347 5.347 1.782 Ag

YHfAg4, optimized geometry, DFT GGA-PBE; E_tot = -4.78 eV/atom; total moment = 0.211 Bohr magnetons per cell; symmetry = No. 123
1.0
3.620 0.000 0.000
0.000 3.620 0.000
0.000 0.000 9.127
Y Hf Ag
1 1 4
Cartesian
0.000 0.000 0.000 Y
1.810 1.810 4.563 Hf
0.000 0.000 3.100 Ag
0.000 0.000 6.026 Ag
1.810 1.810 1.647 Ag
1.810 1.810 7.480 Ag

Repeat the second record exactly.
YHfAg, optimized geometry, DFT GGA-PBE; E_tot = -5.38 eV/atom; total moment = 2.437 Bohr magnetons per cell; symmetry = No. 216
1.0
6.851 0.000 0.000
0.000 6.851 0.000
0.000 0.000 6.851
Y Hf Ag
4 4 4
Cartesian
0.000 0.000 0.000 Y
0.000 3.425 3.425 Y
3.425 0.000 3.425 Y
3.425 3.425 0.000 Y
1.713 1.713 1.713 Hf
1.713 5.138 5.138 Hf
5.138 1.713 5.138 Hf
5.138 5.138 1.713 Hf
1.713 1.713 5.138 Ag
1.713 5.138 1.713 Ag
5.138 1.713 1.713 Ag
5.138 5.138 5.138 Ag